Run A
Compound: Ba3LaH
Source: Alexandria via LeMat-Bulk
Functional: PBE
Structure: optimized geometry

Output
- Magnetic moment: 0.0 μB/f.u.
- DOS(E_F): 1.25 states/eV per atom

abc: 5.867 5.867 5.867
angles: 90.00 90.00 90.00
Space group Pm-3m (No. 221)
Symmetry-distinct sites (fractional):
Ba: 0.000 0.000 0.500
La: 0.500 0.500 0.500
H: 0.000 0.000 0.000

---

Run B
Compound: Ba3LaH
Source: Alexandria via LeMat-Bulk
Functional: PBE
Structure: optimized geometry

Output
- Magnetic moment: 0.6 μB/f.u.
- DOS(E_F): 1.20 states/eV per atom

abc: 6.549 6.549 6.549
angles: 90.00 90.00 90.00
Space group Pm-3m (No. 221)
Symmetry-distinct sites (fractional):
Ba: 0.000 0.000 0.500
La: 0.000 0.000 0.000
H: 0.500 0.500 0.500

---

run A takes first place; second place is 879 meV per atom up.

---

Run A
Compound: BaSrLa2H
Source: Alexandria via LeMat-Bulk
Functional: PBE
Structure: optimized geometry

Output
- Magnetic moment: 0.0 μB/f.u.
- DOS(E_F): 1.59 states/eV per atom

abc: 6.045 6.045 6.846
angles: 90.00 90.00 90.00
Space group P4/mmm (No. 123)
Symmetry-distinct sites (fractional):
Ba: 0.000 0.000 0.000
Sr: 0.000 0.000 0.500
La: 0.000 0.500 0.500
H: 0.500 0.500 0.000

---

Run B
Compound: BaSrLa2H
Source: Alexandria via LeMat-Bulk
Functional: PBE
Structure: optimized geometry

Output
- Magnetic moment: 0.0 μB/f.u.
- DOS(E_F): 0.95 states/eV per atom

abc: 5.374 5.374 6.030
angles: 90.00 90.00 90.00
Space group P4/mmm (No. 123)
Symmetry-distinct sites (fractional):
Ba: 0.000 0.000 0.000
Sr: 0.500 0.500 0.000
La: 0.000 0.500 0.500
H: 0.000 0.000 0.500

---

Run C
Compound: BaSrLa2H
Source: Alexandria via LeMat-Bulk
Functional: PBE
Structure: optimized geometry

Output
- Magnetic moment: 0.0 μB/f.u.
- DOS(E_F): 1.06 states/eV per atom

abc: 5.372 5.372 5.982
angles: 90.00 90.00 90.00
Space group P4/mmm (No. 123)
Symmetry-distinct sites (fractional):
Ba: 0.000 0.000 0.000
Sr: 0.500 0.500 0.000
La: 0.000 0.500 0.500
H: 0.500 0.500 0.500

---

Run D
Compound: BaSrLa2H
Source: Alexandria via LeMat-Bulk
Functional: PBE
Structure: optimized geometry

Output
- Magnetic moment: 0.0 μB/f.u.
- DOS(E_F): 2.12 states/eV per atom

abc: 6.917 6.917 4.215
angles: 90.00 90.00 90.00
Space group P4/mmm (No. 123)
Symmetry-distinct sites (fractional):
Ba: 0.000 0.000 0.000
Sr: 0.500 0.500 0.500
La: 0.000 0.500 0.500
H: 0.500 0.500 0.000

---

run B takes first place; second place is 12 meV per atom up.

---

Run A
Compound: BaSr2LaH
Source: Alexandria via LeMat-Bulk
Functional: PBE
Structure: optimized geometry

Output
- Magnetic moment: 0.0 μB/f.u.
- DOS(E_F): 0.98 states/eV per atom

abc: 6.447 6.447 4.787
angles: 90.00 90.00 90.00
Space group P4/mmm (No. 123)
Symmetry-distinct sites (fractional):
Ba: 0.000 0.000 0.000
Sr: 0.000 0.500 0.500
La: 0.500 0.500 0.000
H: 0.500 0.500 0.500

---

Run B
Compound: BaSr2LaH
Source: Alexandria via LeMat-Bulk
Functional: PBE
Structure: optimized geometry

Output
- Magnetic moment: 0.6 μB/f.u.
- DOS(E_F): 1.41 states/eV per atom

abc: 5.640 5.640 5.974
angles: 90.00 90.00 90.00
Space group P4/mmm (No. 123)
Symmetry-distinct sites (fractional):
Ba: 0.000 0.000 0.000
Sr: 0.000 0.500 0.500
La: 0.500 0.500 0.000
H: 0.000 0.000 0.500

---

run A takes first place; second place is 31 meV per atom up.

---

Run A
Compound: BaLi2H
Source: Alexandria via LeMat-Bulk
Functional: PBE
Structure: optimized geometry

Output
- Magnetic moment: 1.1 μB/f.u.
- DOS(E_F): 0.34 states/eV per atom

abc: 7.590 7.590 7.590
angles: 90.00 90.00 90.00
Space group Fm-3m (No. 225)
Symmetry-distinct sites (fractional):
Ba: 0.000 0.000 0.000
Li: 0.250 0.250 0.250
H: 0.000 0.000 0.500

---

Run B
Compound: BaLi2H
Source: Alexandria via LeMat-Bulk
Functional: PBE
Structure: optimized geometry

Output
- Magnetic moment: 0.0 μB/f.u.
- DOS(E_F): 0.44 states/eV per atom

abc: 6.465 6.465 9.158
angles: 90.00 90.00 90.00
Space group I4_1/amd (No. 141, origin choice 2)
Symmetry-distinct sites (fractional):
Ba: 0.000 0.250 0.375
Li: 0.000 0.000 0.000
H: 0.000 0.250 0.875

---

run B takes first place; second place is 551 meV per atom up.

---

Run A
Compound: Ba2LiPH
Source: Alexandria via LeMat-Bulk
Functional: PBE
Structure: optimized geometry

Output
- Magnetic moment: 0.8 μB/f.u.
- DOS(E_F): 0.42 states/eV per atom

abc: 6.861 4.387 8.907
angles: 90.00 108.69 90.00
Space group P2_1/m (No. 11)
Symmetry-distinct sites (fractional):
Ba: 0.187 0.250 0.402
Ba: 0.235 0.250 0.958
Li: 0.470 0.750 0.259
P: 0.348 0.750 0.701
H: 0.183 0.750 0.182

---

Run B
Compound: Ba2LiPH
Source: Alexandria via LeMat-Bulk
Functional: PBE
Structure: optimized geometry

Output
- Magnetic moment: 0.0 μB/f.u.
- DOS(E_F): 0.33 states/eV per atom

abc: 5.358 5.358 4.318
angles: 90.00 90.00 90.00
Space group P4/mmm (No. 123)
Symmetry-distinct sites (fractional):
Ba: 0.000 0.500 0.000
Li: 0.000 0.000 0.500
P: 0.500 0.500 0.500
H: 0.000 0.000 0.000

---

run A takes first place; second place is 104 meV per atom up.

---

Run A
Compound: Ba2LiHPb
Source: Alexandria via LeMat-Bulk
Functional: PBE
Structure: optimized geometry

Output
- Magnetic moment: 0.0 μB/f.u.
- DOS(E_F): 0.33 states/eV per atom

abc: 5.653 5.653 4.714
angles: 90.00 90.00 90.00
Space group P4/mmm (No. 123)
Symmetry-distinct sites (fractional):
Ba: 0.000 0.500 0.000
Li: 0.000 0.000 0.500
H: 0.000 0.000 0.000
Pb: 0.500 0.500 0.500

---

Run B
Compound: Ba2LiHPb
Source: Alexandria via LeMat-Bulk
Functional: PBE
Structure: optimized geometry

Output
- Magnetic moment: 0.0 μB/f.u.
- DOS(E_F): 0.01 states/eV per atom

abc: 7.308 5.004 9.106
angles: 90.00 107.12 90.00
Space group P2_1/m (No. 11)
Symmetry-distinct sites (fractional):
Ba: 0.201 0.250 0.414
Ba: 0.227 0.250 0.950
Li: 0.426 0.750 0.244
H: 0.162 0.750 0.153
Pb: 0.351 0.750 0.709

---

run B takes first place; second place is 18 meV per atom up.